1.
Below is crystalline LiInCl2 at its relaxed geometry, with properties calculated at the GGA-PBEsol level.

Results
E (eV/atom): -3.434
Formation energy from raw total energies (eV per atom): -1.1931
M_tot (μB/cell): 0.0
Excess energy over the best structure of this formula in the dataset (kJ/mol of atoms): 3.9

Cell lengths 3.523, 3.523, 7.848 Å; angles 90.00, 90.00, 90.00 degrees
Sites, in units of the cell vectors:
Cl 0.000 0.000 0.876
Cl 0.500 0.500 0.246
In 0.000 0.000 0.446
Li 0.500 0.500 0.931



2.
Below is crystalline CuRe2NiSb at its relaxed geometry, with properties calculated at the GGA-PBEsol level.

Results
E (eV/atom): -5.780
Formation energy from raw total energies (eV per atom): 2.5629
M_tot (μB/cell): 1.0

Cell lengths 4.479, 4.809, 4.809 Å; angles 90.00, 90.00, 90.00 degrees
Last column: magnetic moment on the atom in μB.
Sites, in units of the cell vectors:
Re 0.000 0.000 0.500  0.20
Re 0.000 0.500 0.000  0.20
Ni 0.500 0.500 0.500  0.56
Cu 0.500 0.000 0.000  0.01
Sb 0.000 0.000 0.000  0.00



3.
Below is crystalline CrTe3Cl at its relaxed geometry, with properties calculated at the GGA-PBEsol level.

Results
E (eV/atom): -4.317
Formation energy from raw total energies (eV per atom): 0.2484
M_tot (μB/cell): 1.1

Cell lengths 5.021, 5.021, 5.021 Å; angles 90.00, 90.00, 90.00 degrees
Last column: magnetic moment on the atom in μB.
Sites, in units of the cell vectors:
Cr 0.000 0.000 0.000  1.28
Te 0.000 0.500 0.000  -0.03
Te 0.000 0.000 0.500  -0.03
Te 0.500 0.000 0.000  -0.03
Cl 0.500 0.500 0.500  -0.06



4.
Below is crystalline TeP2RhS at its relaxed geometry, with properties calculated at the GGA-PBEsol level.

Results
E (eV/atom): -3.884
Formation energy from raw total energies (eV per atom): 1.6426
M_tot (μB/cell): 0.8

Cell lengths 4.808, 4.936, 4.936 Å; angles 90.00, 90.00, 90.00 degrees
Last column: magnetic moment on the atom in μB.
Sites, in units of the cell vectors:
P 0.000 0.000 0.500  -0.01
P 0.000 0.500 0.000  -0.01
S 0.500 0.000 0.000  0.05
Te 0.000 0.000 0.000  0.01
Rh 0.500 0.500 0.500  0.73



5.
Below is crystalline In3CoCl at its relaxed geometry, with properties calculated at the GGA-PBEsol level.

Results
E (eV/atom): -2.824
Formation energy from raw total energies (eV per atom): 0.9149
M_tot (μB/cell): 2.1
Excess energy over the best structure of this formula in the dataset (kJ/mol of atoms): 112.2

Cell lengths 5.391, 5.391, 5.391 Å; angles 90.00, 90.00, 90.00 degrees
Last column: magnetic moment on the atom in μB.
Sites, in units of the cell vectors:
Cl 0.000 0.000 0.000  0.00
Co 0.500 0.500 0.500  2.13
In 0.000 0.500 0.000  -0.01
In 0.000 0.000 0.500  -0.01
In 0.500 0.000 0.000  -0.01



6.
Below is crystalline LaTlIn2 at its relaxed geometry, with properties calculated at the GGA-PBEsol level.

Results
Energy of formation (eV/atom): -0.37
E (eV/atom): -3.856
M_tot (μB/cell): 0.0

Cell lengths 4.691, 4.692, 5.896 Å; angles 113.45, 113.44, 90.00 degrees
Sites, in units of the cell vectors:
In 0.001 0.001 0.001
In 0.750 0.250 0.500
La 0.500 0.500 0.999
Tl 0.250 0.750 0.500